Density functional theory data (PBE) for Hf3Ir5 after structural relaxation.

Lattice parameters (Å, degrees): 7.5055 8.3775 4.2275 90.00 90.00 90.00
Sites, in units of the cell vectors:
Hf  0.0000  0.0000  0.0000
Hf  0.0000  0.2871  0.5000
Hf  0.0000  0.7129  0.5000
Hf  0.5000  0.2129  0.5000
Hf  0.5000  0.5000  0.0000
Hf  0.5000  0.7871  0.5000
Ir  0.0000  0.5000  0.0000
Ir  0.2230  0.0000  0.5000
Ir  0.2500  0.2500  0.0000
Ir  0.2500  0.7500  0.0000
Ir  0.2769  0.5000  0.5000
Ir  0.5000  0.0000  0.0000
Ir  0.7230  0.5000  0.5000
Ir  0.7500  0.2500  0.0000
Ir  0.7500  0.7500  0.0000
Ir  0.7770  0.0000  0.5000

Summary:
The formation energy is -0.889 eV/atom. The total energy is -10.159 eV per atom. The calculation puts the total magnetization at 0.00 μB/cell.